The following is a meta-GGA SCAN calculation of AlCd2P at its PBEsol-relaxed geometry, from Alexandria via LeMat-Bulk.

Values from the calculation:
For the calculated formation energy, the calculation gives 0.20 eV/atom. The polymorph energy (0 for the lowest one) comes out at 0.016 eV/atom.

Cell: 3.549 5.094 8.581 Å, 90.00 90.00 90.00°
Space group Imm2 (No. 44)
One atom of each set of equivalent atoms:
Al 0.000 0.000 0.000 (multiplicity 2)
Cd 0.000 0.000 0.553 (multiplicity 2)
Cd 0.000 0.500 0.770 (multiplicity 2)
P 0.000 0.500 0.312 (multiplicity 2)